(1)
Below is a relaxed structure of Ce2Co3CuP4, with properties calculated at the PBE level.

Cell lengths 4.013, 4.013, 9.098 Å; angles 90.00, 90.00, 90.00 degrees
Site moments in Bohr magnetons follow the coordinates.
Atoms (fractional coordinates):
1 Co 0.000 0.500 0.110  0.01
2 Co 0.000 0.000 0.500  0.28
3 Co 0.500 0.000 0.890  0.01
4 P 0.000 0.500 0.362  0.01
5 P 0.000 0.000 0.000  0.00
6 P 0.500 0.500 0.000  0.00
7 P 0.500 0.000 0.638  0.01
8 Ce 0.500 0.000 0.245  -0.02
9 Ce 0.000 0.500 0.755  -0.02
10 Cu 0.500 0.500 0.500  0.01

Values from the calculation:
Energy of formation in kJ/mol of formula units: -934
Total magnetic moment in Bohr magnetons per cell: 0.26
Energy in eV per atom: -6.8601

(2)
Below is a relaxed structure of CeScCoCu, with properties calculated at the PBE level.

Cell lengths 4.705, 4.705, 4.705 Å; angles 60.00, 60.00, 60.00 degrees
Atoms (fractional coordinates):
1 Co 0.750 0.750 0.750
2 Cu 0.250 0.250 0.250
3 Sc 0.500 0.500 0.500
4 Ce 0.000 0.000 0.000

Values from the calculation:
Energy of formation in kJ/mol of formula units: -56
Total magnetic moment in Bohr magnetons per cell: 0.01
Energy in eV per atom: -6.0115

(3)
Below is a relaxed structure of CeSmCoCu, with properties calculated at the PBE level.

Cell lengths 4.891, 4.891, 4.891 Å; angles 60.00, 60.00, 60.00 degrees
Site moments in Bohr magnetons follow the coordinates.
Atoms (fractional coordinates):
1 Ce 0.750 0.750 0.750  -0.35
2 Cu 0.000 0.000 0.000  -0.01
3 Sm 0.250 0.250 0.250  -0.04
4 Co 0.500 0.500 0.500  0.26

Values from the calculation:
Energy of formation in kJ/mol of formula units: -25
Total magnetic moment in Bohr magnetons per cell: 0.23
Energy in eV per atom: -5.5289

(4)
Below is a relaxed structure of TbCeCoCu, with properties calculated at the PBE level.

Cell lengths 4.849, 4.849, 4.849 Å; angles 60.00, 60.00, 60.00 degrees
Site moments in Bohr magnetons follow the coordinates.
Atoms (fractional coordinates):
1 Ce 0.000 0.000 0.000  -0.24
2 Tb 0.500 0.500 0.500  -0.03
3 Co 0.750 0.750 0.750  0.16
4 Cu 0.250 0.250 0.250  0.00

Values from the calculation:
Energy of formation in kJ/mol of formula units: -43
Total magnetic moment in Bohr magnetons per cell: 0.16
Energy in eV per atom: -5.5522

(5)
Below is a relaxed structure of CeYCoCu, with properties calculated at the PBE level.

Cell lengths 4.851, 4.851, 4.851 Å; angles 60.00, 60.00, 60.00 degrees
Site moments in Bohr magnetons follow the coordinates.
Atoms (fractional coordinates):
1 Co 0.250 0.250 0.250  0.20
2 Y 0.000 0.000 0.000  -0.02
3 Ce 0.500 0.500 0.500  -0.27
4 Cu 0.750 0.750 0.750  0.00

Values from the calculation:
Energy of formation in kJ/mol of formula units: -42
Total magnetic moment in Bohr magnetons per cell: 0.17
Energy in eV per atom: -6.0080

(6)
Below is a relaxed structure of CeZrCoCu, with properties calculated at the PBE level.

Cell lengths 4.716, 4.716, 4.716 Å; angles 60.00, 60.00, 60.00 degrees
Site moments in Bohr magnetons follow the coordinates.
Atoms (fractional coordinates):
1 Co 0.000 0.000 0.000  0.14
2 Zr 0.750 0.750 0.750  -0.07
3 Ce 0.250 0.250 0.250  -0.21
4 Cu 0.500 0.500 0.500  0.00

Values from the calculation:
Energy of formation in kJ/mol of formula units: -12
Total magnetic moment in Bohr magnetons per cell: 0.21
Energy in eV per atom: -6.4530

(7)
Below is a relaxed structure of Ce2Dy2Co3, with properties calculated at the PBE level.

Cell lengths 3.796, 6.498, 6.838 Å; angles 98.96, 89.97, 107.00 degrees
Atoms (fractional coordinates):
1 Co 0.233 0.466 0.752
2 Co 0.000 0.000 0.000
3 Co 0.767 0.534 0.248
4 Ce 0.628 0.256 0.891
5 Ce 0.372 0.744 0.109
6 Dy 0.870 0.738 0.631
7 Dy 0.130 0.262 0.369

Values from the calculation:
Offset from the most stable computed form in eV/atom: 0.090
Energy of formation in kJ/mol of formula units: -83
Total magnetic moment in Bohr magnetons per cell: 0.00
Energy in eV per atom: -6.1780

(8)
Below is a relaxed structure of Ce12DyCo6, with properties calculated at the PBE level.

Cell lengths 8.334, 8.334, 8.334 Å; angles 109.47, 109.47, 109.47 degrees
Site moments in Bohr magnetons follow the coordinates.
Atoms (fractional coordinates):
1 Ce 0.690 0.878 0.187  0.17
2 Ce 0.503 0.813 0.690  0.17
3 Ce 0.878 0.187 0.690  0.17
4 Ce 0.310 0.497 0.187  0.17
5 Ce 0.187 0.690 0.878  0.17
6 Ce 0.122 0.813 0.310  0.17
7 Ce 0.187 0.310 0.497  0.17
8 Ce 0.497 0.187 0.310  0.17
9 Ce 0.813 0.310 0.122  0.17
10 Ce 0.813 0.690 0.503  0.17
11 Ce 0.310 0.122 0.813  0.17
12 Ce 0.690 0.503 0.813  0.17
13 Co 0.357 0.500 0.857  -0.04
14 Co 0.500 0.857 0.357  -0.04
15 Co 0.143 0.643 0.500  -0.04
16 Co 0.643 0.500 0.143  -0.04
17 Co 0.500 0.143 0.643  -0.04
18 Co 0.857 0.357 0.500  -0.04
19 Dy 0.000 0.000 0.000  0.01

Values from the calculation:
Energy of formation in kJ/mol of formula units: -197
Total magnetic moment in Bohr magnetons per cell: 2.24
Energy in eV per atom: -6.3411